## NaBH (GGA-PBE)

Data for crystalline NaBH at its relaxed geometry.

Calculated values
* crystal system: orthorhombic
* total energy: -23.07 eV/cell
* M_tot: 0.000 μB/cell
* SG: Imma (74)

```
data_NaBH
_chemical_formula_sum 'Na2 B2 H2'
_cell_length_a 5.538
_cell_length_b 5.538
_cell_length_c 5.538
_cell_angle_alpha 147.18
_cell_angle_beta 133.28
_cell_angle_gamma 58.27
_symmetry_space_group_name_H-M 'P 1'
_symmetry_Int_Tables_number 1
loop_
_symmetry_equiv_pos_as_xyz
'x,y,z'
loop_
_atom_site_label
_atom_site_type_symbol
_atom_site_fract_x
_atom_site_fract_y
_atom_site_fract_z
Na1 Na 0.363 0.113 0.250
Na2 Na 0.637 0.887 0.750
B1 B 0.033 0.283 0.750
B2 B 0.967 0.717 0.250
H1 H 0.167 0.417 0.750
H2 H 0.833 0.583 0.250
```